Here is crystalline TaCdCu2 at its relaxed geometry from Alexandria via LeMat-Bulk. Energies are from PBE.

The space group is P4mm (No. 99) and the conventional cell measures 2.871, 2.871 and 7.591 Å, with angles of 90.00, 90.00 and 90.00 degrees. The inequivalent atoms are Ta at (0.000, 0.000, 0.000), Cd at (0.500, 0.500, 0.308), Cu at (0.000, 0.000, 0.566) and Cu at (0.500, 0.500, 0.761).

As for the formation enthalpy at 0 K: 146.2 meV/atom. For the density, the calculation gives 11.2 g/cm³.